Entry 1:
First-principles (GGA-PBE) data for HfSi2Tc after structural relaxation, as listed in OQMD via LeMat-Bulk.

The space group is F-43m (No. 216) and the conventional cell measures 6.278, 6.278 and 6.278 Å, with angles of 90.00, 90.00 and 90.00 degrees. The inequivalent atoms are Hf at (0.000, 0.000, 0.000), Si at (0.000, 0.000, 0.500), Si at (0.250, 0.250, 0.250) and Tc at (0.250, 0.250, 0.750).

Its total DFT energy (no corrections) is -126.35 eV for the cell shown.



Entry 2:
First-principles (GGA-PBE) data for HfSi2Tc2 after structural relaxation, as listed in OQMD via LeMat-Bulk.

The space group is P4/mbm (No. 127) and the conventional cell measures 7.040, 7.040 and 3.008 Å, with angles of 90.00, 90.00 and 90.00 degrees. The inequivalent atoms are Hf at (0.000, 0.000, 0.000), Si at (0.135, 0.365, 0.000) and Tc at (0.155, 0.655, 0.500).

The calculation puts the offset from the most stable computed form at 0.0 meV/atom.



Entry 3:
First-principles (GGA-PBE) data for HfSiTc2 after structural relaxation, as listed in OQMD via LeMat-Bulk.

The space group is F-43m (No. 216) and the conventional cell measures 6.293, 6.293 and 6.293 Å, with angles of 90.00, 90.00 and 90.00 degrees. The inequivalent atoms are Hf at (0.000, 0.000, 0.000), Si at (0.250, 0.250, 0.750), Tc at (0.000, 0.000, 0.500) and Tc at (0.250, 0.250, 0.250).

Its total DFT energy (no corrections) is -145.68 eV for the cell shown.



Entry 4:
First-principles (GGA-PBE) data for Hf2SiTe after structural relaxation, as listed in OQMD via LeMat-Bulk.

The space group is P6_3/mmc (No. 194) and the conventional cell measures 3.8902, 3.8902 and 13.1882 Å, with angles of 90.00, 90.00 and 120.00 degrees. The inequivalent atoms are Hf at (0.3333, 0.6667, 0.1022), Si at (0.0000, 0.0000, 0.0000) and Te at (0.3333, 0.6667, 0.7500).

Its total DFT energy (no corrections) is -62.77 eV for the cell shown.



Entry 5:
First-principles (GGA-PBE) data for HfSiTe2 after structural relaxation, as listed in OQMD via LeMat-Bulk.

The space group is F-43m (No. 216) and the conventional cell measures 7.146, 7.146 and 7.146 Å, with angles of 90.00, 90.00 and 90.00 degrees. The inequivalent atoms are Hf at (0.000, 0.000, 0.000), Si at (0.250, 0.250, 0.750), Te at (0.000, 0.000, 0.500) and Te at (0.250, 0.250, 0.250).

Its total DFT energy (no corrections) is -80.87 eV for the cell shown.



Entry 6:
First-principles (GGA-PBE) data for HfThSi after structural relaxation, as listed in OQMD via LeMat-Bulk.

The space group is F-43m (No. 216) and the conventional cell measures 6.697, 6.697 and 6.697 Å, with angles of 90.00, 90.00 and 90.00 degrees. The inequivalent atoms are Hf at (0.000, 0.000, 0.000), Th at (0.000, 0.000, 0.500) and Si at (0.250, 0.250, 0.250).

Its total DFT energy (no corrections) is -92.82 eV for the cell shown.